First-principles (GGA-PBE) data for BaNb2AlGe after structural relaxation, as listed in Alexandria.

Summary:
* density: 5.6 g/cm³
* formation energy from the elements: 3.57 eV/f.u.
* N(E_F): 3.97 states/eV/cell

Unit cell a=5.0296 b=5.0296 c=4.9730 alpha=90.00 beta=90.00 gamma=90.00
Closest atoms and distances in Å follow each position.
Positions (direct):
Ba 0.0000 0.0000 0.0000  8 Nb 3.54, 4 Al 3.56
Nb 0.0000 0.5000 0.5000  2 Ge 2.51
Nb 0.5000 0.0000 0.5000  2 Ge 2.51
Al 0.5000 0.5000 0.0000  2 Ge 2.49
Ge 0.5000 0.5000 0.5000  2 Al 2.49, 4 Nb 2.51